The following is a DFT calculation (PBE) of crystalline Sr2NiPbN at its relaxed geometry.

offset from the most stable computed form = 0.0 kJ/mol of atoms
space-group type = No. 123
uncorrected formation energy = -0.432 eV per atom

Cell lengths 5.777, 5.777, 3.564 Å; angles 90.00, 90.00, 90.00 degrees
Element x y z (fractional)
Sr  0.000  0.500  0.000
Sr  0.500  0.000  0.000
Ni  0.000  0.000  0.500
Pb  0.500  0.500  0.500
N  0.000  0.000  0.000